# YTm3Ag2

YTm3Ag2 after structural relaxation (PBE, Alexandria via LeMat-Bulk).

## Properties
* calculated total energy: -50.91 eV/cell
* ΔE to the lowest computed polymorph: 232 meV per atom
* formation energy from the elements: 21 meV per atom
* calculated volume: 29.5 Å³/atom

Unit cell a=8.5727 b=8.5727 c=8.5727 alpha=131.96 beta=72.28 gamma=129.47
With the nearest neighbours (Å) after each atom.
Element x y z (fractional)
Y 0.0000 0.0000 0.0000  2 Ag 2.88
Y 0.5000 0.5000 0.0000  2 Ag 2.88
Tm 0.0212 0.2500 0.7712  4 Ag 2.90-3.03
Tm 0.2500 0.7500 0.5000  4 Ag 3.03
Tm 0.4788 0.2500 0.2288  4 Ag 2.90-3.03
Tm 0.5212 0.7500 0.7712  4 Ag 2.90-3.03
Tm 0.7500 0.2500 0.5000  4 Ag 3.03
Tm 0.9788 0.7500 0.2288  4 Ag 2.90-3.03
Ag 0.1431 0.6996 0.8427  1 Y 2.88, 6 Tm 2.90-3.03
Ag 0.3569 0.1996 0.5565  1 Y 2.88, 6 Tm 2.90-3.03
Ag 0.6431 0.8004 0.4435  1 Y 2.88, 6 Tm 2.90-3.03
Ag 0.8569 0.3004 0.1573  1 Y 2.88, 6 Tm 2.90-3.03

# YTmAg4

YTmAg4 after structural relaxation (PBE, Alexandria via LeMat-Bulk).

## Properties
* calculated total energy: -48.57 eV/cell
* ΔE to the lowest computed polymorph: 0 meV per atom
* formation energy from the elements: -324 meV per atom
* calculated volume: 21.4 Å³/atom

Unit cell a=9.9695 b=3.7003 c=7.4986 alpha=90.00 beta=112.10 gamma=90.00
With the nearest neighbours (Å) after each atom.
Element x y z (fractional)
Y 0.0000 0.0000 0.0000  10 Ag 3.06-3.08
Y 0.5000 0.5000 0.0000  10 Ag 3.06-3.08
Tm 0.0000 0.0000 0.5000  10 Ag 3.04-3.05
Tm 0.5000 0.5000 0.5000  10 Ag 3.04-3.05
Ag 0.1693 0.5000 0.3389  5 Ag 2.99-3.12, 3 Tm 3.04-3.05, 2 Y 3.08
Ag 0.1685 0.5000 0.8297  5 Ag 3.03-3.12, 2 Tm 3.04, 3 Y 3.06-3.08
Ag 0.3315 0.0000 0.1703  5 Ag 3.03-3.12, 2 Tm 3.04, 3 Y 3.06-3.08
Ag 0.3307 0.0000 0.6611  5 Ag 2.99-3.12, 3 Tm 3.04-3.05, 2 Y 3.08
Ag 0.6693 0.0000 0.3389  5 Ag 2.99-3.12, 3 Tm 3.04-3.05, 2 Y 3.08
Ag 0.6685 0.0000 0.8297  5 Ag 3.03-3.12, 2 Tm 3.04, 3 Y 3.06-3.08
Ag 0.8315 0.5000 0.1703  5 Ag 3.03-3.12, 2 Tm 3.04, 3 Y 3.06-3.08
Ag 0.8307 0.5000 0.6611  5 Ag 2.99-3.12, 3 Tm 3.04-3.05, 2 Y 3.08

Please write out number 1 again, unchanged.
# YTm3Ag2

YTm3Ag2 after structural relaxation (PBE, Alexandria via LeMat-Bulk).

## Properties
* calculated total energy: -50.91 eV/cell
* ΔE to the lowest computed polymorph: 232 meV per atom
* formation energy from the elements: 21 meV per atom
* calculated volume: 29.5 Å³/atom

Unit cell a=8.5727 b=8.5727 c=8.5727 alpha=131.96 beta=72.28 gamma=129.47
With the nearest neighbours (Å) after each atom.
Element x y z (fractional)
Y 0.0000 0.0000 0.0000  2 Ag 2.88
Y 0.5000 0.5000 0.0000  2 Ag 2.88
Tm 0.0212 0.2500 0.7712  4 Ag 2.90-3.03
Tm 0.2500 0.7500 0.5000  4 Ag 3.03
Tm 0.4788 0.2500 0.2288  4 Ag 2.90-3.03
Tm 0.5212 0.7500 0.7712  4 Ag 2.90-3.03
Tm 0.7500 0.2500 0.5000  4 Ag 3.03
Tm 0.9788 0.7500 0.2288  4 Ag 2.90-3.03
Ag 0.1431 0.6996 0.8427  1 Y 2.88, 6 Tm 2.90-3.03
Ag 0.3569 0.1996 0.5565  1 Y 2.88, 6 Tm 2.90-3.03
Ag 0.6431 0.8004 0.4435  1 Y 2.88, 6 Tm 2.90-3.03
Ag 0.8569 0.3004 0.1573  1 Y 2.88, 6 Tm 2.90-3.03

calculated total energy of number 1 (YTm3Ag2)? -50.91 eV/cell

Among the records above, which one has the highest formation energy from the elements? YTm3Ag2